Entry 1:
This record from Alexandria via LeMat-Bulk describes a relaxed AcHo crystal. The functional is PBE.

abc: 7.2306 7.2306 5.8000
angles: 90.00 90.00 149.90
Fractional positions:
Ac 0.1698 0.8302 0.7500
Ac 0.8302 0.1698 0.2500
Ho 0.4390 0.5610 0.7500
Ho 0.5610 0.4390 0.2500

Results
Energy of formation from the pure elements (eV per atom): 0.060
Volume (A^3/atom): 38.0
Mass density (g cm⁻³): 8.6



Entry 2:
This record from Alexandria via LeMat-Bulk describes a relaxed HfGaSe2Br crystal. The functional is PBE.

abc: 4.9709 4.9709 4.8598
angles: 90.00 90.00 90.00
Fractional positions:
Hf 0.0000 0.0000 0.0000
Ga 0.5000 0.5000 0.5000
Se 0.0000 0.5000 0.5000
Se 0.5000 0.0000 0.5000
Br 0.5000 0.5000 0.0000

Results
Volume (A^3/atom): 24.0
Mass density (g cm⁻³): 6.7
Uncorrected formation energy (eV/atom): 0.2024



The lowest volume belongs to which entry? HfGaSe2Br



Among the records above, which one has the lowest mass density? HfGaSe2Br